1.
A plane-wave DFT calculation with GGA-PBEsol was carried out for a geometry-optimized KSr2Cu structure.

```
4
Lattice="4.233 0.000 0.000 0.000 4.233 0.000 0.000 0.000 9.780" Properties=species:S:1:pos:R:3 pbc="T T T"
K 2.117 2.117 6.965
Sr 2.117 2.117 3.265
Sr 0.000 0.000 0.602
Cu 0.000 0.000 3.837
```

Properties
symmetry	P4mm
distance to the lowest polymorph of the same formula	0.116	eV/atom
formation energy from the elements	19	kJ per mole of atoms
electronic total energy	-2.09	eV/atom


2.
A plane-wave DFT calculation with GGA-PBEsol was carried out for a geometry-optimized ScNiSn structure.

```
12
Lattice="4.321 0.000 0.000 0.000 6.580 0.000 0.000 0.000 7.409" Properties=species:S:1:pos:R:3 pbc="T T T"
Sn 3.241 1.994 4.355
Sn 3.241 5.284 6.758
Sn 1.080 1.296 0.650
Sn 1.080 4.586 3.054
Ni 1.080 5.204 0.610
Ni 3.241 4.666 4.314
Ni 1.080 1.914 3.094
Ni 3.241 1.376 6.799
Sc 3.241 6.511 2.168
Sc 1.080 0.070 5.241
Sc 3.241 3.220 1.537
Sc 1.080 3.360 5.872
```

Properties
symmetry	Pnma
formation energy from the elements	-66	kJ per mole of atoms
electronic total energy	-6.35	eV/atom